No. 1
Below is a relaxed structure of Re2AgHg, with properties calculated at the GGA-PBE level.

abc: 2.944 4.717 10.055
angles: 90.00 90.00 90.00
Fractional coordinates of all 8 atoms:
Re (0.000, 0.000, 0.000)
Re (0.000, 0.500, 0.211)
Re (0.500, 0.000, 0.211)
Re (0.500, 0.500, 0.000)
Ag (0.000, 0.000, 0.462)
Ag (0.500, 0.500, 0.462)
Hg (0.000, 0.500, 0.730)
Hg (0.500, 0.000, 0.730)

Calculated values
As for the symmetry: Cmm2 (35). Its formation enthalpy at 0 K is 498 meV/atom.

No. 2
Below is a relaxed structure of V2HRuW, with properties calculated at the GGA-PBE level.

abc: 4.183 4.183 3.415
angles: 90.00 90.00 90.00
Fractional coordinates of all 5 atoms:
V (0.000, 0.500, 0.000)
V (0.500, 0.000, 0.000)
H (0.000, 0.000, 0.000)
Ru (0.000, 0.000, 0.500)
W (0.500, 0.500, 0.500)

Calculated values
As for the symmetry: P4/mmm (123). The value obtained for the calculated total energy is -43.93 eV per cell.

No. 3
Below is a relaxed structure of IrPdPt2, with properties calculated at the GGA-PBE level.

abc: 3.911 3.911 16.213
angles: 90.00 90.00 120.00
Fractional coordinates of all 12 atoms:
Ir (0.000, 0.000, 0.000)
Ir (0.333, 0.667, 0.667)
Ir (0.667, 0.333, 0.333)
Pd (0.000, 0.000, 0.830)
Pd (0.333, 0.667, 0.496)
Pd (0.667, 0.333, 0.163)
Pt (0.000, 0.000, 0.412)
Pt (0.000, 0.000, 0.588)
Pt (0.333, 0.667, 0.078)
Pt (0.333, 0.667, 0.254)
Pt (0.667, 0.333, 0.745)
Pt (0.667, 0.333, 0.921)

Calculated values
As for the symmetry: R3m (160). Its formation enthalpy at 0 K is 501 meV/atom.

Calculated D(E_F) in order - 0.595 0.873 1.402 states/eV/atom